YMnNi2: optimized geometry, PBE.

The energy above the most stable polymorph in this dataset comes out at 0.4448 eV/atom. For the density, the calculation gives 5.65 g cm⁻³. The calculation puts the formation energy at 214 meV per atom.

It has space group I-42d (No. 122), with a = 4.3774 Å, b = 4.3774 Å, c = 16.0319 Å, α = 90.00°, β = 90.00° and γ = 90.00°. The asymmetric unit holds Y at (0.0000, 0.0000, 0.0000), Mn at (0.0000, 0.0000, 0.5000) and Ni at (0.0750, 0.2500, 0.6250).

***

Cs2MnGa: optimized geometry, PBE.

The energy above the most stable polymorph in this dataset comes out at 0.0000 eV/atom. For the density, the calculation gives 2.52 g cm⁻³. The calculation puts the formation energy at 472 meV per atom.

It has space group I4_1/amd (No. 141, origin choice 2), with a = 14.5070 Å, b = 14.5070 Å, c = 4.8856 Å, α = 90.00°, β = 90.00° and γ = 90.00°. The asymmetric unit holds Cs at (0.0000, 0.0000, 0.0000), Mn at (0.0000, 0.2500, 0.8750) and Ga at (0.0000, 0.2500, 0.3750).

***

EuIn2Pt: optimized geometry, PBE.

For the density, the calculation gives 9.38 g cm⁻³. The calculation puts the formation energy at -518 meV per atom.

It has space group R-3m (No. 166, hexagonal axes), with a = 4.5892 Å, b = 4.5892 Å, c = 16.7900 Å, α = 90.00°, β = 90.00° and γ = 120.00°. The asymmetric unit holds Eu at (0.0000, 0.0000, 0.0000), In at (0.0000, 0.0000, 0.2178) and Pt at (0.0000, 0.0000, 0.5000).

***

DyEr5Tm4: optimized geometry, PBE.

The energy above the most stable polymorph in this dataset comes out at 0.0000 eV/atom. For the density, the calculation gives 9.08 g cm⁻³. The calculation puts the formation energy at 57 meV per atom.

It has space group P-1 (No. 2), with a = 3.5136 Å, b = 6.5241 Å, c = 13.7791 Å, α = 83.96°, β = 87.02° and γ = 77.19°. The asymmetric unit holds Dy at (0.0000, 0.0000, 0.0000), Er at (0.1548, 0.1323, 0.5850), Er at (0.4371, 0.5920, 0.6152), Er at (0.5000, 0.5000, 0.0000), Tm at (0.0483, 0.3252, 0.8037) and Tm at (0.2762, 0.1390, 0.2128).